(1)
# Mg3TaBe PBE relaxed
# Calculated formation energy, eV/atom: 1.785
# Distance to the lowest polymorph of the same formula, eV/atom: 0.898
data_Mg3TaBe
_space_group_name_H-M_alt 'P m -3 m'
_space_group_IT_number 221
_space_group_name_Hall '-P 4 2 3'
_cell_length_a 5.4237
_cell_length_b 5.4237
_cell_length_c 5.4237
_cell_angle_alpha 90.00
_cell_angle_beta 90.00
_cell_angle_gamma 90.00
loop_
_atom_site_label
_atom_site_type_symbol
_atom_site_fract_x
_atom_site_fract_y
_atom_site_fract_z
_atom_site_occupancy
Mg1 Mg 0.0000 0.0000 0.5000 1
Ta1 Ta 0.0000 0.0000 0.0000 1
Be1 Be 0.5000 0.5000 0.5000 1



(2)
# MnAs2Ru PBE relaxed
# Calculated formation energy, eV/atom: 0.264
# Distance to the lowest polymorph of the same formula, eV/atom: 0.367
data_MnAs2Ru
_space_group_name_H-M_alt 'C m m m'
_space_group_IT_number 65
_space_group_name_Hall '-C 2 2'
_cell_length_a 3.0593
_cell_length_b 5.1004
_cell_length_c 7.9992
_cell_angle_alpha 90.00
_cell_angle_beta 90.00
_cell_angle_gamma 90.00
loop_
_atom_site_label
_atom_site_type_symbol
_atom_site_fract_x
_atom_site_fract_y
_atom_site_fract_z
_atom_site_occupancy
Mn1 Mn 0.0000 0.0000 0.0000 1
As1 As 0.0000 0.5000 0.2509 1
Ru1 Ru 0.0000 0.0000 0.5000 1



(3)
# EuHgBi2 PBE relaxed
# Calculated formation energy, eV/atom: -0.451
data_EuHgBi2
_space_group_name_H-M_alt 'P 4/m m m'
_space_group_IT_number 123
_space_group_name_Hall '-P 4 2'
_cell_length_a 4.9580
_cell_length_b 4.9580
_cell_length_c 4.8139
_cell_angle_alpha 90.00
_cell_angle_beta 90.00
_cell_angle_gamma 90.00
loop_
_atom_site_label
_atom_site_type_symbol
_atom_site_fract_x
_atom_site_fract_y
_atom_site_fract_z
_atom_site_occupancy
Eu1 Eu 0.0000 0.0000 0.0000 1
Hg1 Hg 0.5000 0.5000 0.0000 1
Bi1 Bi 0.0000 0.5000 0.5000 1



(4)
# LaHfSb2Te PBE relaxed
# Formation energy (no corrections), meV/atom: -411
# Distance to the lowest polymorph of the same formula, eV/atom: 0.000
data_LaHfSb2Te
_space_group_name_H-M_alt 'P 4/m m m'
_space_group_IT_number 123
_space_group_name_Hall '-P 4 2'
_cell_length_a 5.4699
_cell_length_b 5.4699
_cell_length_c 5.5796
_cell_angle_alpha 90.00
_cell_angle_beta 90.00
_cell_angle_gamma 90.00
loop_
_atom_site_label
_atom_site_type_symbol
_atom_site_fract_x
_atom_site_fract_y
_atom_site_fract_z
_atom_site_occupancy
La1 La 0.0000 0.0000 0.0000 1
Hf1 Hf 0.5000 0.5000 0.5000 1
Sb1 Sb 0.0000 0.5000 0.5000 1
Te1 Te 0.5000 0.5000 0.0000 1



Energy for every record listed, in sequence, given in hartree per atom: -0.084, -0.245, -0.185, -0.208.
Calculated volume for every record listed, in sequence, given in Å³ per cell: 159.5, 124.8, 118.3, 166.9.
Mass density for every record listed, in sequence, given in Mg/m³: 2.74, 8.14, 10.81, 6.85.